No. 1
# PBE BaAg2TeO4, relaxed
data_BaAg2TeO4
_chemical_formula_sum 'Ba4 Ag8 Te4 O16'
_cell_length_a 12.979
_cell_length_b 6.936
_cell_length_c 7.819
_cell_angle_alpha 90.00
_cell_angle_beta 122.33
_cell_angle_gamma 90.00
_space_group_name_H-M_alt 'C 1 c 1'
_space_group_IT_number 9
loop_
_space_group_symop_operation_xyz
'x,y,z'
'x,-y,z+1/2'
'x+1/2,y+1/2,z'
'x+1/2,-y+1/2,z+1/2'
loop_
_atom_site_label
_atom_site_fract_x
_atom_site_fract_y
_atom_site_fract_z
Ba1 0.000 0.243 0.000
Ag1 0.240 0.470 0.903
Ag2 0.472 0.232 0.000
Te1 0.240 0.050 0.540
O1 0.049 0.099 0.375
O2 0.178 0.192 0.897
O3 0.249 0.228 0.351
O4 0.413 0.041 0.142
# * crystal system: monoclinic
# * ρ: 6.1 g/cm³
# * formation energy without anion corrections: -1.1164 eV per atom

No. 2
# PBE Pr5Sb4Se, relaxed
data_Pr5Sb4Se
_chemical_formula_sum 'Pr10 Sb8 Se2'
_cell_length_a 4.511
_cell_length_b 4.511
_cell_length_c 31.838
_cell_angle_alpha 90.00
_cell_angle_beta 90.00
_cell_angle_gamma 90.00
_space_group_name_H-M_alt 'I 4/m m m'
_space_group_IT_number 139
_space_group_name_Hall '-I 4 2'
loop_
_atom_site_label
_atom_site_fract_x
_atom_site_fract_y
_atom_site_fract_z
Pr1 0.000 0.000 0.000
Pr2 0.000 0.000 0.200
Pr3 0.000 0.000 0.402
Sb1 0.000 0.000 0.099
Sb2 0.000 0.000 0.301
Se1 0.000 0.000 0.500
# * crystal system: tetragonal
# * energy relative to the lowest polymorph listed for this composition: 13 kJ/mol of formula units
# * ρ: 6.5 g/cm³
# * formation energy without anion corrections: -1.3231 eV per atom

No. 3
# PBE Ac8MgCo4, relaxed
data_Ac8MgCo4
_chemical_formula_sum 'Ac16 Mg2 Co8'
_cell_length_a 20.217
_cell_length_b 4.249
_cell_length_c 13.755
_cell_angle_alpha 90.00
_cell_angle_beta 131.39
_cell_angle_gamma 90.00
_space_group_name_H-M_alt 'C 1 2/m 1'
_space_group_IT_number 12
loop_
_space_group_symop_operation_xyz
'x,y,z'
'-x,-y,-z'
'-x,y,-z'
'x,-y,z'
'x+1/2,y+1/2,z'
'-x+1/2,-y+1/2,-z'
'-x+1/2,y+1/2,-z'
'x+1/2,-y+1/2,z'
loop_
_atom_site_label
_atom_site_fract_x
_atom_site_fract_y
_atom_site_fract_z
Ac1 0.041 0.000 0.237
Ac2 0.136 0.500 0.093
Ac3 0.160 0.500 0.833
Ac4 0.204 0.500 0.570
Mg1 0.000 0.000 0.500
Co1 0.145 0.000 0.963
Co2 0.161 0.500 0.322
# * crystal system: monoclinic
# * energy of formation from the pure elements: -16 meV per atom
# * ρ: 7.8 g/cm³

No. 4
# PBE LiCu2Pt2, relaxed
data_LiCu2Pt2
_chemical_formula_sum 'Li4 Cu8 Pt8'
_cell_length_a 6.889
_cell_length_b 11.958
_cell_length_c 4.425
_cell_angle_alpha 90.00
_cell_angle_beta 129.18
_cell_angle_gamma 90.00
_space_group_name_H-M_alt 'C 1 2/c 1'
_space_group_IT_number 15
loop_
_space_group_symop_operation_xyz
'x,y,z'
'-x,-y,-z'
'-x,y,-z+1/2'
'x,-y,z+1/2'
'x+1/2,y+1/2,z'
'-x+1/2,-y+1/2,-z'
'-x+1/2,y+1/2,-z+1/2'
'x+1/2,-y+1/2,z+1/2'
loop_
_atom_site_label
_atom_site_fract_x
_atom_site_fract_y
_atom_site_fract_z
Li1 0.000 0.141 0.250
Cu1 0.241 0.061 0.993
Pt1 0.000 0.250 0.750
Pt2 0.000 0.380 0.250
# * crystal system: monoclinic
# * energy of formation from the pure elements: -171 meV per atom
# * energy relative to the lowest polymorph listed for this composition: 4 kJ/mol of formula units
# * ρ: 12.3 g/cm³

No. 5
# PBE Li2SiCl, relaxed
data_Li2SiCl
_chemical_formula_sum 'Li4 Si2 Cl2'
_cell_length_a 5.775
_cell_length_b 7.775
_cell_length_c 2.976
_cell_angle_alpha 90.00
_cell_angle_beta 90.00
_cell_angle_gamma 90.00
_space_group_name_H-M_alt 'C m m m'
_space_group_IT_number 65
_space_group_name_Hall '-C 2 2'
loop_
_atom_site_label
_atom_site_fract_x
_atom_site_fract_y
_atom_site_fract_z
Li1 0.250 0.250 0.000
Si1 0.000 0.000 0.500
Cl1 0.000 0.500 0.500
# * crystal system: orthorhombic
# * energy relative to the lowest polymorph listed for this composition: 95 kJ/mol of formula units
# * ρ: 1.9 g/cm³
# * formation energy without anion corrections: -0.4156 eV per atom

No. 6
# PBE NaScIBr2, relaxed
data_NaScIBr2
_chemical_formula_sum 'Na1 Sc1 I1 Br2'
_cell_length_a 5.341
_cell_length_b 5.341
_cell_length_c 5.993
_cell_angle_alpha 90.00
_cell_angle_beta 90.00
_cell_angle_gamma 90.00
_space_group_name_H-M_alt 'P 4/m m m'
_space_group_IT_number 123
_space_group_name_Hall '-P 4 2'
loop_
_atom_site_label
_atom_site_fract_x
_atom_site_fract_y
_atom_site_fract_z
Na1 0.000 0.000 0.000
Sc1 0.500 0.500 0.500
I1 0.500 0.500 0.000
Br1 0.000 0.500 0.500
# * crystal system: tetragonal
# * ρ: 3.4 g/cm³
# * formation energy without anion corrections: -1.2084 eV per atom

> The lowest ρ belongs to which entry?

Li2SiCl